Entry 1:
First-principles (GGA-PBE) data for a relaxed structure of LaNpTe4Se2, as listed in OQMD via LeMat-Bulk.

Lattice parameters (Å, degrees): 4.3127 12.9544 12.9544 19.15 90.00 90.00
Last column: nearest neighbours and their distance in Å.
Element x y z (fractional)
La1 0.0000 0.0000 0.0000  5 Se 3.07-3.13, 4 Te 3.41-3.42
Np1 0.5000 0.3559 0.3559  5 Se 2.95-3.11, 4 Te 3.30
Te1 0.0000 0.2581 0.2581  4 Te 3.05, 2 Np 3.30
Te2 0.0000 0.6035 0.6035  4 Te 3.05, 2 La 3.41
Te3 0.5000 0.1037 0.1037  4 Te 3.05
Te4 0.5000 0.7582 0.7582  4 Te 3.05, 2 Np 3.30
Se1 0.0000 0.8797 0.8797  1 La 3.07, 4 Np 3.11
Se2 0.5000 0.4715 0.4715  1 Np 2.95, 4 La 3.13

Calculated values
The magnetic moment is 3.76 μB per formula unit. For the mass density, the calculation gives 7.30 g cm⁻³. Its calculated volume is 237.5 Å³/f.u.

---

Entry 2:
First-principles (GGA-PBE) data for a relaxed structure of HoGeAsO, as listed in OQMD via LeMat-Bulk.

Lattice parameters (Å, degrees): 5.6939 5.6939 4.7920 90.00 90.00 90.00
Last column: nearest neighbours and their distance in Å.
Element x y z (fractional)
Ho1 0.2500 0.7500 0.0000  2 O 2.40
Ho2 0.7500 0.2500 0.0000  2 O 2.40
Ge1 0.2500 0.2500 0.4916  2 As 2.39-2.40
Ge2 0.7500 0.7500 0.5084  2 As 2.39-2.40
As1 0.2500 0.2500 0.9912  2 Ge 2.39-2.40
As2 0.7500 0.7500 0.0088  2 Ge 2.39-2.40
O1 0.2500 0.7500 0.5000  2 Ho 2.40
O2 0.7500 0.2500 0.5000  2 Ho 2.40

Calculated values
The magnetic moment is 0.00 μB per formula unit. For the mass density, the calculation gives 7.02 g cm⁻³. The energy relative to the lowest polymorph listed for this composition comes out at 508 meV per atom. Its calculated volume is 77.7 Å³/f.u.

---

Entry 3:
First-principles (GGA-PBE) data for a relaxed structure of ZrPaMo, as listed in OQMD via LeMat-Bulk.

Lattice parameters (Å, degrees): 4.6252 4.6252 4.6252 60.00 60.00 60.00
Last column: nearest neighbours and their distance in Å.
Element x y z (fractional)
Zr1 0.0000 0.0000 0.0000  4 Pa 2.83
Pa1 0.7500 0.7500 0.7500  4 Mo 2.83, 4 Zr 2.83
Mo1 0.5000 0.5000 0.5000  4 Pa 2.83

Calculated values
The magnetic moment is 0.04 μB per formula unit. The energy of formation from the pure elements is 97.6 kJ per mole of atoms. For the mass density, the calculation gives 9.93 g cm⁻³. The energy relative to the lowest polymorph listed for this composition comes out at 663 meV per atom. Its calculated volume is 70.0 Å³/f.u.

---

Number 1: electronic total energy -45.12 eV per cell. Number 2: electronic total energy -45.48 eV per cell. Number 3: electronic total energy -25.86 eV per cell.